Entry from the Alexandria database: an optimized crystal structure of Tl2ZnH12Se2O14 (PBEsol).

Output
total energy: -5.1032 eV/atom
total magnetic moment: 0.00 μB per cell
space group: P2_1/c
volume: 695.36 Å³ per cell

Structure (POSCAR):
```
Tl2ZnH12Se2O14
1.0
6.325 0.000 0.000
0.000 12.370 0.000
-2.232 0.000 8.887
Tl Zn H Se O
4 2 24 4 28
Cartesian
0.247 1.980 3.190 Tl
-0.869 4.205 7.633 Tl
4.962 8.165 1.254 Tl
3.846 10.390 5.698 Tl
3.163 0.000 0.000 Zn
2.046 6.185 4.444 Zn
-0.307 6.866 5.356 H
0.809 11.689 0.912 H
0.033 7.919 4.201 H
-1.083 10.636 8.644 H
-0.621 1.076 7.023 H
0.495 5.109 2.579 H
0.890 1.561 6.684 H
2.006 4.624 2.241 H
2.160 7.379 2.020 H
1.044 11.176 6.463 H
2.363 8.526 3.129 H
1.247 10.029 7.573 H
2.846 2.341 1.314 H
1.730 3.844 5.758 H
3.049 1.194 2.424 H
1.933 4.991 6.868 H
2.087 7.746 6.647 H
3.203 10.809 2.203 H
3.598 7.261 6.308 H
4.714 11.294 1.864 H
5.176 1.734 0.243 H
4.060 4.451 4.687 H
3.284 0.681 7.975 H
4.400 5.504 3.531 H
-0.597 7.854 8.072 Se
0.519 10.701 3.628 Se
3.574 1.669 5.259 Se
4.690 4.516 0.816 Se
-1.613 9.179 8.141 O
-0.497 9.376 3.697 O
-1.112 6.887 6.805 O
0.004 11.668 2.361 O
0.187 6.970 4.490 O
1.303 11.585 0.047 O
1.525 6.965 0.579 O
0.409 11.590 5.023 O
0.240 1.392 7.425 O
1.357 4.793 2.982 O
0.977 8.377 7.814 O
2.093 10.178 3.370 O
2.595 1.397 1.545 O
1.479 4.788 5.989 O
2.614 7.582 2.898 O
1.498 10.973 7.342 O
2.000 2.192 5.517 O
3.116 3.993 1.073 O
2.736 7.577 5.906 O
3.853 10.978 1.462 O
3.684 0.780 3.865 O
2.568 5.405 8.308 O
2.790 0.785 8.841 O
3.906 5.400 4.397 O
4.089 0.702 6.526 O
5.205 5.483 2.083 O
4.590 2.994 5.190 O
5.706 3.191 0.746 O
```